Entry 1:
DFT (GGA-PBE) results for a relaxed Si2SnRhO crystal.

Results
The calculation puts the density of states at the Fermi level at 1.9 states/eV/f.u. The value obtained for the volume is 19.2 Å³ per atom. As for the uncorrected formation energy: -0.787 eV per atom.

abc: 5.630 2.952 5.881
angles: 90.00 101.45 90.00
Fractional positions:
Si 0.040 0.500 0.231
Si 0.608 0.500 0.468
Sn 0.623 0.500 0.919
Rh 0.364 0.000 0.193
O 0.906 0.500 0.461

Entry 2:
DFT (GGA-PBE) results for a relaxed CaLa2Pr4 crystal.

Results
The calculation puts the density of states at the Fermi level at 11.7 states/eV/f.u. The value obtained for the volume is 37.2 Å³ per atom. Its formation enthalpy at 0 K is 0.020 eV/atom.

abc: 3.738 3.738 21.657
angles: 85.05 85.05 60.00
Fractional positions:
Pr 0.857 0.857 0.430
Pr 0.717 0.717 0.850
Pr 0.283 0.283 0.150
Pr 0.143 0.143 0.570
Ca 0.000 0.000 0.000
La 0.571 0.571 0.288
La 0.429 0.429 0.712

Entry 3:
DFT (GGA-PBE) results for a relaxed CdW2Se crystal.

Results
The calculation puts the density of states at the Fermi level at 2.4 states/eV/f.u. The value obtained for the volume is 17.2 Å³ per atom. As for the uncorrected formation energy: 0.577 eV per atom.

abc: 9.139 9.139 9.139
angles: 18.73 18.73 18.73
Fractional positions:
Cd 0.250 0.250 0.250
Se 0.750 0.750 0.750
W 0.009 0.009 0.009
W 0.491 0.491 0.491

Entry 4:
DFT (GGA-PBE) results for a relaxed CeEr2Ag crystal.

Results
The calculation puts the density of states at the Fermi level at 6.8 states/eV/f.u. The value obtained for the volume is 27.5 Å³ per atom. Its formation enthalpy at 0 K is 0.033 eV/atom.

abc: 3.468 3.468 10.730
angles: 80.71 80.71 59.98
Each line ends with the local moment (μB).
Fractional positions:
Ce 0.500 0.500 0.500  0.76
Er 0.074 0.074 0.776  0.04
Er 0.259 0.259 0.224  0.04
Ag 0.667 0.667 0.000  -0.01